Model P:
Here is a geometry-optimized BeAgB3 structure from Alexandria. Energies are from PBE.

Properties
The value obtained for the total moment is 0.00 Bohr magnetons per cell.

Cell: 3.7602 3.7602 3.7602 Å, 90.00 90.00 90.00°
Fractional coordinates of all 5 atoms:
Be  0.0000  0.0000  0.0000
Ag  0.5000  0.5000  0.5000
B  0.0000  0.0000  0.5000
B  0.0000  0.5000  0.0000
B  0.5000  0.0000  0.0000

---

Model Q:
Here is a geometry-optimized BeAgB3 structure from Alexandria. Energies are from PBE.

Properties
The value obtained for the total moment is 0.00 Bohr magnetons per cell.

Cell: 4.1613 4.1613 4.1613 Å, 90.00 90.00 90.00°
Fractional coordinates of all 5 atoms:
Be  0.0000  0.0000  0.0000
Ag  0.5000  0.5000  0.5000
B  0.0000  0.5000  0.5000
B  0.5000  0.0000  0.5000
B  0.5000  0.5000  0.0000

---

Which structure is most stable? model P, by 0.794 eV/atom over the runner-up.

---

Model P:
Here is a geometry-optimized Ag2BiB structure from Alexandria. Energies are from PBE.

Properties
The value obtained for the total moment is 0.00 Bohr magnetons per cell.

Cell: 4.8009 4.8009 4.8009 Å, 60.00 60.00 60.00°
Fractional coordinates of all 4 atoms:
Ag  0.2500  0.2500  0.2500
Ag  0.7500  0.7500  0.7500
Bi  0.0000  0.0000  0.0000
B  0.5000  0.5000  0.5000

---

Model Q:
Here is a geometry-optimized Ag2BiB structure from Alexandria. Energies are from PBE.

Properties
The value obtained for the total moment is 0.00 Bohr magnetons per cell.

Cell: 7.8510 7.8510 7.8510 Å, 142.85 142.85 53.55°
Fractional coordinates of all 8 atoms:
Ag  0.3750  0.2337  0.3587
Ag  0.7663  0.1250  0.1413
Ag  0.8750  0.0163  0.6413
Ag  0.9837  0.6250  0.8587
Bi  0.2500  0.7500  0.5000
Bi  0.5000  0.5000  0.0000
B  0.0000  0.0000  0.0000
B  0.7500  0.2500  0.5000

---

Which structure is most stable? model Q, by 0.208 eV/atom over the runner-up.

---

Model P:
Here is a geometry-optimized Ag3BiB structure from Alexandria. Energies are from PBE.

Properties
The value obtained for the total moment is 0.00 Bohr magnetons per cell.

Cell: 5.4027 5.4027 5.4027 Å, 90.00 90.00 90.00°
Fractional coordinates of all 5 atoms:
Ag  0.0000  0.0000  0.5000
Ag  0.0000  0.5000  0.0000
Ag  0.5000  0.0000  0.0000
Bi  0.0000  0.0000  0.0000
B  0.5000  0.5000  0.5000

---

Model Q:
Here is a geometry-optimized Ag3BiB structure from Alexandria. Energies are from PBE.

Properties
The value obtained for the total moment is 0.00 Bohr magnetons per cell.

Cell: 4.5404 4.5404 4.5404 Å, 90.00 90.00 90.00°
Fractional coordinates of all 5 atoms:
Ag  0.0000  0.0000  0.5000
Ag  0.0000  0.5000  0.0000
Ag  0.5000  0.0000  0.0000
Bi  0.5000  0.5000  0.5000
B  0.0000  0.0000  0.0000

---

Which structure is most stable? model Q, by 1.019 eV/atom over the runner-up.

---

Model P:
Here is a geometry-optimized AgBiBPt2 structure from Alexandria. Energies are from PBE.

Properties
The value obtained for the total moment is 0.00 Bohr magnetons per cell.

Cell: 4.3054 4.3054 4.6590 Å, 90.00 90.00 90.00°
Fractional coordinates of all 5 atoms:
Ag  0.0000  0.0000  0.0000
Bi  0.5000  0.5000  0.0000
B  0.0000  0.0000  0.5000
Pt  0.0000  0.5000  0.5000
Pt  0.5000  0.0000  0.5000

---

Model Q:
Here is a geometry-optimized AgBiBPt2 structure from Alexandria. Energies are from PBE.

Properties
The value obtained for the total moment is 0.00 Bohr magnetons per cell.

Cell: 5.1554 5.1554 4.5999 Å, 90.00 90.00 90.00°
Fractional coordinates of all 5 atoms:
Ag  0.0000  0.0000  0.0000
Bi  0.5000  0.5000  0.5000
B  0.5000  0.5000  0.0000
Pt  0.0000  0.5000  0.5000
Pt  0.5000  0.0000  0.5000

---

Which structure is most stable? model P, by 1.481 eV/atom over the runner-up.

---

Model P:
Here is a geometry-optimized AgBBr2 structure from Alexandria. Energies are from PBE.

Properties
The value obtained for the total moment is 0.00 Bohr magnetons per cell.

Cell: 4.9577 4.9577 4.9577 Å, 60.00 60.00 60.00°
Fractional coordinates of all 4 atoms:
Ag  0.0000  0.0000  0.0000
B  0.5000  0.5000  0.5000
Br  0.2500  0.2500  0.2500
Br  0.7500  0.7500  0.7500

---

Model Q:
Here is a geometry-optimized AgBBr2 structure from Alexandria. Energies are from PBE.

Properties
The value obtained for the total moment is 0.00 Bohr magnetons per cell.

Cell: 7.7717 7.7717 7.7717 Å, 134.53 134.53 66.25°
Fractional coordinates of all 8 atoms:
Ag  0.0000  0.0000  0.0000
Ag  0.7500  0.2500  0.5000
B  0.2500  0.7500  0.5000
B  0.5000  0.5000  0.0000
Br  0.1435  0.6250  0.0185
Br  0.3750  0.3935  0.5185
Br  0.6065  0.1250  0.9815
Br  0.8750  0.8565  0.4815

---

Model R:
Here is a geometry-optimized AgBBr2 structure from Alexandria. Energies are from PBE.

Properties
The value obtained for the total moment is 0.13 Bohr magnetons per cell.

Cell: 10.4228 10.4228 10.4228 Å, 18.18 18.18 18.18°
Fractional coordinates of all 4 atoms:
Ag  0.0000  0.0000  0.0000
B  0.5000  0.5000  0.5000
Br  0.1208  0.1208  0.1208
Br  0.8792  0.8792  0.8792

---

Which structure is most stable? model Q, by 0.112 eV/atom over the runner-up.

---

Model P:
Here is a geometry-optimized AgB3Br structure from Alexandria. Energies are from PBE.

Properties
The value obtained for the total moment is 0.00 Bohr magnetons per cell.

Cell: 4.1838 4.1838 4.1838 Å, 90.00 90.00 90.00°
Fractional coordinates of all 5 atoms:
Ag  0.0000  0.0000  0.0000
B  0.0000  0.5000  0.5000
B  0.5000  0.0000  0.5000
B  0.5000  0.5000  0.0000
Br  0.5000  0.5000  0.5000

---

Model Q:
Here is a geometry-optimized AgB3Br structure from Alexandria. Energies are from PBE.

Properties
The value obtained for the total moment is 0.00 Bohr magnetons per cell.

Cell: 4.3600 4.3600 4.3600 Å, 90.00 90.00 90.00°
Fractional coordinates of all 5 atoms:
Ag  0.0000  0.0000  0.0000
B  0.0000  0.0000  0.5000
B  0.0000  0.5000  0.0000
B  0.5000  0.0000  0.0000
Br  0.5000  0.5000  0.5000

---

Which structure is most stable? model Q, by 0.619 eV/atom over the runner-up.

---

Model P:
Here is a geometry-optimized Ag3BBr structure from Alexandria. Energies are from PBE.

Properties
The value obtained for the total moment is 0.93 Bohr magnetons per cell.

Cell: 4.5452 4.5452 4.5452 Å, 90.00 90.00 90.00°
Fractional coordinates of all 5 atoms:
Ag  0.0000  0.0000  0.5000
Ag  0.0000  0.5000  0.0000
Ag  0.5000  0.0000  0.0000
B  0.0000  0.0000  0.0000
Br  0.5000  0.5000  0.5000

---

Model Q:
Here is a geometry-optimized Ag3BBr structure from Alexandria. Energies are from PBE.

Properties
The value obtained for the total moment is 0.59 Bohr magnetons per cell.

Cell: 5.2031 5.2031 5.2031 Å, 90.00 90.00 90.00°
Fractional coordinates of all 5 atoms:
Ag  0.0000  0.0000  0.5000
Ag  0.0000  0.5000  0.0000
Ag  0.5000  0.0000  0.0000
B  0.5000  0.5000  0.5000
Br  0.0000  0.0000  0.0000

---

Which structure is most stable? model P, by 0.944 eV/atom over the runner-up.

---

Model P:
Here is a geometry-optimized AgBC structure from Alexandria. Energies are from PBE.

Properties
The value obtained for the total moment is 0.00 Bohr magnetons per cell.

Cell: 4.1445 4.1445 5.7194 Å, 90.00 90.00 120.00°
Fractional coordinates of all 6 atoms:
Ag  0.3333  0.6667  0.2500
Ag  0.6667  0.3333  0.7500
B  0.0000  0.0000  0.2500
B  0.0000  0.0000  0.7500
C  0.0000  0.0000  0.0000
C  0.0000  0.0000  0.5000

---

Model Q:
Here is a geometry-optimized AgBC structure from Alexandria. Energies are from PBE.

Properties
The value obtained for the total moment is 0.00 Bohr magnetons per cell.

Cell: 6.7303 2.8567 7.9365 Å, 90.00 90.00 90.00°
Fractional coordinates of all 12 atoms:
Ag  0.0526  0.2500  0.1618
Ag  0.4474  0.7500  0.6618
Ag  0.5526  0.2500  0.3382
Ag  0.9474  0.7500  0.8382
B  0.0559  0.2500  0.5642
B  0.4441  0.7500  0.0642
B  0.5559  0.2500  0.9358
B  0.9441  0.7500  0.4358
C  0.1306  0.7500  0.5916
C  0.3694  0.2500  0.0916
C  0.6306  0.7500  0.9084
C  0.8694  0.2500  0.4084

---

Model R:
Here is a geometry-optimized AgBC structure from Alexandria. Energies are from PBE.

Properties
The value obtained for the total moment is 0.00 Bohr magnetons per cell.

Cell: 2.7911 2.7911 9.3333 Å, 90.00 90.00 120.00°
Fractional coordinates of all 6 atoms:
Ag  0.0000  0.0000  0.0000
Ag  0.0000  0.0000  0.5000
B  0.3333  0.6667  0.2500
B  0.6667  0.3333  0.7500
C  0.3333  0.6667  0.7500
C  0.6667  0.3333  0.2500

---

Which structure is most stable? model R, by 0.233 eV/atom over the runner-up.

---

Model P:
Here is a geometry-optimized AgBC structure from Alexandria. Energies are from PBE.

Properties
The value obtained for the total moment is 0.00 Bohr magnetons per cell.

Cell: 6.5057 6.5057 3.7564 Å, 106.64 106.64 32.97°
Fractional coordinates of all 6 atoms:
Ag  0.1948  0.1948  0.1965
Ag  0.8052  0.8052  0.8035
B  0.2368  0.7632  0.0000
B  0.7632  0.2368  0.0000
C  0.5000  0.5000  0.3212
C  0.5000  0.5000  0.6788

---

Model Q:
Here is a geometry-optimized AgBC structure from Alexandria. Energies are from PBE.

Properties
The value obtained for the total moment is 0.00 Bohr magnetons per cell.

Cell: 2.8306 2.8306 7.8800 Å, 90.00 90.00 90.00°
Fractional coordinates of all 6 atoms:
Ag  0.2500  0.2500  0.1391
Ag  0.7500  0.7500  0.8609
B  0.2500  0.7500  0.5000
B  0.7500  0.2500  0.5000
C  0.2500  0.2500  0.6122
C  0.7500  0.7500  0.3878

---

Model R:
Here is a geometry-optimized AgBC structure from Alexandria. Energies are from PBE.

Properties
The value obtained for the total moment is 0.00 Bohr magnetons per cell.

Cell: 3.6274 3.7719 6.3499 Å, 104.48 90.25 90.00°
Fractional coordinates of all 6 atoms:
Ag  0.0000  0.0000  0.0000
Ag  0.4985  0.4109  0.7923
B  0.2383  0.1868  0.3893
B  0.7641  0.1867  0.3890
C  0.5015  0.5152  0.4069
C  0.5014  0.8728  0.4045

---

Which structure is most stable? model P, by 0.017 eV/atom over the runner-up.

---

Model P:
Here is a geometry-optimized AgBC structure from Alexandria. Energies are from PBE.

Properties
The value obtained for the total moment is 0.00 Bohr magnetons per cell.

Cell: 7.0713 2.8770 8.4689 Å, 90.00 90.00 90.00°
Fractional coordinates of all 12 atoms:
Ag  0.0010  0.2500  0.2501
Ag  0.4990  0.7500  0.7501
Ag  0.5010  0.2500  0.2499
Ag  0.9990  0.7500  0.7499
B  0.2491  0.2500  0.5931
B  0.2509  0.7500  0.0931
B  0.7491  0.2500  0.9069
B  0.7509  0.7500  0.4069
C  0.2491  0.7500  0.5908
C  0.2509  0.2500  0.0908
C  0.7491  0.7500  0.9092
C  0.7509  0.2500  0.4092

---

Model Q:
Here is a geometry-optimized AgBC structure from Alexandria. Energies are from PBE.

Properties
The value obtained for the total moment is 0.00 Bohr magnetons per cell.

Cell: 4.4478 4.4478 5.7550 Å, 90.11 90.11 89.60°
Fractional coordinates of all 6 atoms:
Ag  0.0000  0.5000  0.0000
Ag  0.5000  0.0000  0.0000
B  0.0003  0.0003  0.1370
B  0.9997  0.9997  0.8630
C  0.0001  0.0001  0.3915
C  0.9999  0.9999  0.6085

---

Model R:
Here is a geometry-optimized AgBC structure from Alexandria. Energies are from PBE.

Properties
The value obtained for the total moment is 0.00 Bohr magnetons per cell.

Cell: 7.4767 7.4767 3.7826 Å, 104.52 104.52 22.99°
Fractional coordinates of all 6 atoms:
Ag  0.1895  0.1895  0.1887
Ag  0.8105  0.8105  0.8113
B  0.4347  0.4347  0.9353
B  0.5653  0.5653  0.0647
C  0.4999  0.4999  0.3232
C  0.5001  0.5001  0.6768

---

Model S:
Here is a geometry-optimized AgBC structure from Alexandria. Energies are from PBE.

Properties
The value obtained for the total moment is 0.00 Bohr magnetons per cell.

Cell: 3.9186 3.9186 5.7336 Å, 90.00 90.00 111.56°
Fractional coordinates of all 6 atoms:
Ag  0.1036  0.8964  0.7500
Ag  0.8964  0.1036  0.2500
B  0.5000  0.5000  0.0000
B  0.5000  0.5000  0.5000
C  0.4980  0.5020  0.7500
C  0.5020  0.4980  0.2500

---

Which structure is most stable? model P, by 0.012 eV/atom over the runner-up.